# 1
{"formula": "CsCa3Ag4I12", "functional": "PBE-GGA", "state": "relaxed", "e_form_raw_mev_per_atom": -905, "lattice_angstrom": [[10.341, -0.174, -0.242], [-2.660, 9.994, -0.242], [-2.660, -3.402, 9.401]], "species": ["Cs", "Ca", "Ca", "Ca", "Ag", "Ag", "Ag", "Ag", "I", "I", "I", "I", "I", "I", "I", "I", "I", "I", "I", "I"], "frac_coords": [[0.000, 0.000, 0.000], [0.568, 0.432, 0.000], [0.432, 0.000, 0.568], [0.000, 0.568, 0.432], [0.917, 0.083, 0.500], [0.083, 0.500, 0.917], [0.500, 0.917, 0.083], [0.500, 0.500, 0.500], [0.500, 0.333, 0.667], [0.910, 0.500, 0.090], [0.090, 0.910, 0.500], [0.500, 0.090, 0.910], [0.341, 0.971, 0.246], [0.246, 0.341, 0.971], [0.971, 0.246, 0.341], [0.659, 0.754, 0.029], [0.029, 0.659, 0.754], [0.754, 0.029, 0.659], [0.667, 0.500, 0.333], [0.333, 0.667, 0.500]]}

***

# 2
{"formula": "YTiS2N", "functional": "PBE-GGA", "state": "relaxed", "e_form_raw_mev_per_atom": 206, "lattice_angstrom": [[5.164, 0.000, 0.000], [0.000, 5.164, 0.000], [0.000, 0.000, 4.180]], "species": ["Y", "S", "S", "N", "Ti"], "frac_coords": [[0.000, 0.000, 0.000], [0.000, 0.500, 0.000], [0.500, 0.000, 0.000], [0.000, 0.000, 0.500], [0.500, 0.500, 0.500]]}

***

# 3
{"formula": "KSr2Au", "functional": "PBE-GGA", "state": "relaxed", "formation_energy_mev_per_atom": -69, "lattice_angstrom": [[-1.445, 0.022, -5.398], [-0.893, -5.532, 0.217], [-4.685, 0.806, 1.257]], "species": ["Au", "K", "Sr", "Sr"], "frac_coords": [[0.500, 0.000, 0.500], [0.000, 0.500, 0.500], [0.000, 0.000, 0.000], [0.500, 0.500, 0.000]]}

***

# 4
{"formula": "Ca2VGaN", "functional": "PBE-GGA", "state": "relaxed", "e_form_raw_mev_per_atom": 1014, "lattice_angstrom": [[5.988, 0.000, 0.000], [0.000, 3.617, 0.000], [0.000, 0.000, 5.988]], "species": ["Ca", "Ca", "N", "Ga", "V"], "frac_coords": [[0.000, 0.000, 0.500], [0.500, 0.000, 0.000], [0.000, 0.500, 0.000], [0.000, 0.000, 0.000], [0.500, 0.500, 0.500]]}

***

# 5
{"formula": "Mg5Hg2Bi2", "functional": "PBE-GGA", "state": "relaxed", "formation_energy_mev_per_atom": -93, "lattice_angstrom": [[4.542, -0.166, -0.066], [-2.403, 5.743, -3.976], [0.006, 0.527, 9.436]], "species": ["Mg", "Mg", "Mg", "Mg", "Mg", "Hg", "Hg", "Bi", "Bi"], "frac_coords": [[0.320, 0.661, 0.978], [0.680, 0.339, 0.022], [0.166, 0.263, 0.526], [0.834, 0.737, 0.474], [0.000, 0.000, 0.000], [0.089, 0.187, 0.785], [0.911, 0.813, 0.215], [0.378, 0.794, 0.715], [0.622, 0.206, 0.285]]}

***

# 6
{"formula": "Ho3Tm2PuSe6", "functional": "PBE-GGA", "state": "relaxed", "e_form_raw_mev_per_atom": -1692, "lattice_angstrom": [[4.033, 0.000, 0.000], [0.000, 8.140, 0.291], [-2.017, -2.346, 8.530]], "species": ["Ho", "Ho", "Ho", "Tm", "Tm", "Pu", "Se", "Se", "Se", "Se", "Se", "Se"], "frac_coords": [[0.500, 0.500, 0.000], [0.836, 0.165, 0.673], [0.164, 0.835, 0.327], [0.837, 0.673, 0.674], [0.163, 0.327, 0.326], [0.500, 0.000, 0.000], [0.330, 0.912, 0.660], [0.669, 0.581, 0.338], [0.670, 0.088, 0.340], [0.001, 0.255, 0.002], [0.999, 0.745, 0.998], [0.331, 0.419, 0.662]]}

***

# 7
{"formula": "Sc2Zn5Cu4", "functional": "PBE-GGA", "state": "relaxed", "formation_energy_mev_per_atom": -187, "lattice_angstrom": [[5.094, 0.000, 0.000], [2.547, 4.174, 0.000], [2.547, 0.000, 8.205]], "species": ["Sc", "Sc", "Zn", "Zn", "Zn", "Zn", "Zn", "Cu", "Cu", "Cu", "Cu"], "frac_coords": [[0.874, 0.000, 0.252], [0.126, 0.000, 0.748], [0.500, 0.000, 0.000], [0.000, 0.500, 0.000], [0.500, 0.500, 0.000], [0.250, 0.500, 0.500], [0.750, 0.500, 0.500], [0.471, 0.318, 0.741], [0.529, 0.682, 0.259], [0.212, 0.318, 0.259], [0.788, 0.682, 0.741]]}

***

# 8
{"formula": "Ca3Mg2Sn4", "functional": "PBE-GGA", "state": "relaxed", "formation_energy_mev_per_atom": -499, "lattice_angstrom": [[4.656, 0.000, 0.000], [-2.328, 6.252, -0.053], [0.000, -2.600, 8.798]], "species": ["Ca", "Ca", "Ca", "Mg", "Mg", "Sn", "Sn", "Sn", "Sn"], "frac_coords": [[0.613, 0.226, 0.702], [0.000, 0.000, 0.000], [0.387, 0.774, 0.298], [0.702, 0.403, 0.377], [0.298, 0.597, 0.623], [0.704, 0.409, 0.066], [0.296, 0.591, 0.934], [0.929, 0.857, 0.608], [0.071, 0.143, 0.392]]}

***

Number 1: total moment 0.0 Bohr magnetons per cell, D(E_F) 17.44 states/eV/f.u.. Number 2: total moment 0.6 Bohr magnetons per cell, D(E_F) 9.23 states/eV/f.u.. Number 3: total moment 0.0 Bohr magnetons per cell, D(E_F) 3.24 states/eV/f.u.. Number 4: total moment 0.4 Bohr magnetons per cell, D(E_F) 7.16 states/eV/f.u.. Number 5: total moment 0.0 Bohr magnetons per cell, D(E_F) 3.89 states/eV/f.u.. Number 6: total moment 6.0 Bohr magnetons per cell, D(E_F) 7.80 states/eV/f.u.. Number 7: total moment 0.0 Bohr magnetons per cell, D(E_F) 4.46 states/eV/f.u.. Number 8: total moment 0.0 Bohr magnetons per cell, D(E_F) 1.54 states/eV/f.u..